# HfZr4Sc, relaxed, DFT PBE-GGA
# - Magnetic moment: 0.00 μB per cell
# - Space-group type: Immm
# - DOS(E_F): 4.33 states/eV/f.u.
# - Calculated formation energy: -0.04 eV per atom
data_HfZr4Sc
_cell_length_a 5.008
_cell_length_b 8.047
_cell_length_c 8.670
_cell_angle_alpha 90.00
_cell_angle_beta 90.00
_cell_angle_gamma 128.56
_space_group_name_H-M_alt 'P 1'
_space_group_IT_number 1
_space_group_name_Hall 'P 1'
loop_
_atom_site_label
_atom_site_fract_x
_atom_site_fract_y
_atom_site_fract_z
Sc1 0.000 0.250 0.750
Hf1 0.500 0.250 0.250
Zr1 0.249 0.499 0.417
Zr2 0.249 0.999 0.917
Zr3 0.249 0.499 0.083
Sc2 0.000 0.750 0.250
Zr4 0.751 0.501 0.917
Zr5 0.751 0.501 0.583
Hf2 0.500 0.750 0.750
Zr6 0.751 0.001 0.417
Zr7 0.249 0.999 0.583
Zr8 0.751 0.001 0.083

***

# SmBi2Sb, relaxed, DFT PBE-GGA
# - Magnetic moment: 0.00 μB per cell
# - Space-group type: R-3m
# - DOS(E_F): 4.04 states/eV/f.u.
# - ΔE_f (raw): 0.24 eV/atom
data_SmBi2Sb
_cell_length_a 4.015
_cell_length_b 4.015
_cell_length_c 10.680
_cell_angle_alpha 79.16
_cell_angle_beta 79.16
_cell_angle_gamma 60.00
_space_group_name_H-M_alt 'P 1'
_space_group_IT_number 1
_space_group_name_Hall 'P 1'
loop_
_atom_site_label
_atom_site_fract_x
_atom_site_fract_y
_atom_site_fract_z
Bi1 0.101 0.101 0.696
Bi2 0.899 0.899 0.304
Sb1 0.500 0.500 0.500
Sm1 0.000 0.000 0.000

***

# HoNpS2, relaxed, DFT PBE-GGA
# - Magnetic moment: 4.53 μB per cell
# - Space-group type: R3m
# - DOS(E_F): 8.77 states/eV/f.u.
# - ΔE_f (raw): -1.58 eV/atom
data_HoNpS2
_cell_length_a 3.772
_cell_length_b 3.772
_cell_length_c 7.271
_cell_angle_alpha 74.96
_cell_angle_beta 74.96
_cell_angle_gamma 60.00
_space_group_name_H-M_alt 'P 1'
_space_group_IT_number 1
_space_group_name_Hall 'P 1'
loop_
_atom_site_label
_atom_site_fract_x
_atom_site_fract_y
_atom_site_fract_z
S1 0.254 0.254 0.239
S2 0.080 0.080 0.760
Np1 0.495 0.495 0.514
Ho1 0.671 0.671 0.988

***

Q: Which of these has the highest DOS(E_F)?
A: HoNpS2